PBE with a Hubbard U Ni2Hg2F, optimized geometry; calculated volume = 97 Å³ per cell; DOS(E_F) = 0.97 states/eV/f.u.; electronic total energy = -1.568 eV/atom; space group = I4/mmm
1.0
-2.6932 2.6932 3.3396
2.6932 -2.6932 3.3396
2.6932 2.6932 -3.3396
Ni Hg F
2 2 1
Direct
0.2060 0.2060 0.0000
0.7940 0.7940 0.0000
0.2500 0.7500 0.5000
0.7500 0.2500 0.5000
0.5000 0.5000 0.0000